CeZr9O20 | Alexandria via LeMat-Bulk | PBEsol | relaxed; formation energy from raw total energies = -3.45 eV/atom; energy = -9.8991 eV per atom; magnetic moment = 0.0 μB per formula unit; volume = 338.78 Å³/f.u.
1.0
6.3276 0.0000 0.0000
2.2004 6.9434 0.0000
2.0629 1.2278 7.7109
Ce Zr O
1 9 20
Cartesian
0.0000 0.0000 0.0000 Ce
3.1552 2.8386 4.6173 Zr
4.2638 6.2746 4.5938 Zr
3.1625 0.9241 1.5627 Zr
4.2583 4.3717 1.5524 Zr
6.2931 3.7658 6.1698 Zr
7.4310 7.2029 6.1622 Zr
7.4061 5.3499 3.1018 Zr
6.3261 1.8926 3.1040 Zr
9.4697 4.6980 7.6820 Zr
1.9553 4.8905 1.2565 O
1.2684 1.7179 1.1073 O
1.8752 1.1045 3.5341 O
3.3945 4.8302 3.4115 O
4.0675 4.2334 5.8605 O
3.3385 1.0238 5.6674 O
4.1980 6.1716 0.4958 O
3.3953 2.9552 0.3099 O
3.9809 2.4180 2.7676 O
5.5172 6.0948 2.6697 O
6.1617 5.5327 5.0928 O
5.4689 2.3022 4.9268 O
6.0614 1.7700 7.3690 O
7.5690 5.4487 7.2732 O
6.1321 3.6470 2.0008 O
5.3714 0.4479 1.9386 O
8.2827 6.7903 4.3127 O
7.5885 3.5547 4.1234 O
8.2378 3.1088 6.5552 O
9.6637 6.6136 6.4356 O